# InMoNO2 (GGA+U, relaxed)
# Magnetization (μB/atom): 0.41
# Raw total energy (eV per atom): -5.19
data_InMoNO2
_chemical_formula_sum 'In1 Mo1 N1 O2'
_cell_length_a 4.146
_cell_length_b 4.146
_cell_length_c 4.241
_cell_angle_alpha 90.00
_cell_angle_beta 90.00
_cell_angle_gamma 90.00
_space_group_name_H-M_alt 'P 4/m m m'
_space_group_IT_number 123
_space_group_name_Hall '-P 4 2'
loop_
_atom_site_label
_atom_site_type_symbol
_atom_site_fract_x
_atom_site_fract_y
_atom_site_fract_z
In1 In 0.000 0.000 0.000
Mo1 Mo 0.500 0.500 0.500
N1 N 0.000 0.000 0.500
O1 O 0.000 0.500 0.000